Below is crystalline CaMgIn2 at its relaxed geometry, with properties calculated at the PBE-GGA level.

```
8
Lattice="4.725 0.000 0.000 0.000 4.725 0.000 2.363 2.363 10.625" Properties=species:S:1:pos:R:3 pbc="T T T"
Ca 0.000 0.000 0.000
Ca 4.725 2.363 5.313
Mg 2.363 2.363 0.000
Mg 2.363 4.725 5.313
In 3.420 1.181 2.656
In 1.305 3.544 2.656
In 3.544 3.668 7.969
In 5.907 5.782 7.969
```

magnetization = 0.00 μB per atom
calculated formation energy = -0.103 eV per formula unit